No. 1
# PPbS3 | Alexandria | GGA-PBEsol | optimized geometry
# * DOS at the Fermi energy: 0.0 states/eV/f.u.
# * uncorrected formation energy: -0.443 eV per atom
data_PPbS3
_chemical_formula_sum 'P4 Pb4 S12'
_space_group_name_H-M_alt 'P 1'
_space_group_IT_number 1
_space_group_name_Hall 'P 1'
_cell_length_a 6.594
_cell_length_b 7.409
_cell_length_c 9.235
_cell_angle_alpha 90.00
_cell_angle_beta 91.69
_cell_angle_gamma 90.00
loop_
_atom_site_label
_atom_site_fract_x
_atom_site_fract_y
_atom_site_fract_z
_atom_site_occupancy
P1 0.563 0.610 0.933 1
P2 0.063 0.890 0.433 1
P3 0.437 0.390 0.067 1
P4 0.937 0.110 0.567 1
Pb1 0.463 0.117 0.749 1
Pb2 0.037 0.617 0.751 1
Pb3 0.537 0.883 0.251 1
Pb4 0.963 0.383 0.249 1
S1 0.679 0.195 0.461 1
S2 0.654 0.196 0.057 1
S3 0.154 0.304 0.557 1
S4 0.821 0.695 0.039 1
S5 0.605 0.504 0.735 1
S6 0.105 0.996 0.235 1
S7 0.346 0.804 0.943 1
S8 0.321 0.805 0.539 1
S9 0.395 0.496 0.265 1
S10 0.846 0.696 0.443 1
S11 0.895 0.004 0.765 1
S12 0.179 0.305 0.961 1

No. 2
# SrLaCo2 | Alexandria | GGA-PBEsol | optimized geometry
# * DOS at the Fermi energy: 5.4 states/eV/f.u.
# * excess energy over the best structure of this formula in the dataset: 0.2811 eV per atom
# * ΔH_f (0 K): 0.60 eV per atom
data_SrLaCo2
_chemical_formula_sum 'Sr1 La1 Co2'
_space_group_name_H-M_alt 'P 1'
_space_group_IT_number 1
_space_group_name_Hall 'P 1'
_cell_length_a 3.629
_cell_length_b 3.629
_cell_length_c 8.086
_cell_angle_alpha 77.03
_cell_angle_beta 77.03
_cell_angle_gamma 60.00
loop_
_atom_site_label
_atom_site_fract_x
_atom_site_fract_y
_atom_site_fract_z
_atom_site_occupancy
Sr1 0.000 0.000 0.000 1
Co1 0.241 0.241 0.278 1
Co2 0.759 0.759 0.722 1
La1 0.500 0.500 0.500 1

No. 3
# Ba2InCo | Alexandria | GGA-PBEsol | optimized geometry
# * DOS at the Fermi energy: 4.1 states/eV/f.u.
# * ΔH_f (0 K): 0.13 eV per atom
data_Ba2InCo
_chemical_formula_sum 'Ba2 In1 Co1'
_space_group_name_H-M_alt 'P 1'
_space_group_IT_number 1
_space_group_name_Hall 'P 1'
_cell_length_a 3.816
_cell_length_b 5.660
_cell_length_c 6.519
_cell_angle_alpha 115.71
_cell_angle_beta 107.02
_cell_angle_gamma 90.00
loop_
_atom_site_label
_atom_site_fract_x
_atom_site_fract_y
_atom_site_fract_z
_atom_site_occupancy
Co1 0.534 0.533 0.068 1
Ba1 0.982 0.982 0.963 1
Ba2 0.799 0.299 0.597 1
In1 0.186 0.686 0.371 1

No. 4
# SrTi11O20 | Alexandria | GGA-PBEsol | optimized geometry
# * DOS at the Fermi energy: 9.8 states/eV/f.u.
# * uncorrected formation energy: -3.046 eV per atom
data_SrTi11O20
_chemical_formula_sum 'Sr2 Ti22 O40'
_space_group_name_H-M_alt 'P 1'
_space_group_IT_number 1
_space_group_name_Hall 'P 1'
_cell_length_a 7.105
_cell_length_b 7.618
_cell_length_c 13.085
_cell_angle_alpha 90.27
_cell_angle_beta 92.79
_cell_angle_gamma 103.67
loop_
_atom_site_label
_atom_site_fract_x
_atom_site_fract_y
_atom_site_fract_z
_atom_site_occupancy
Sr1 0.458 0.811 0.761 1
Sr2 0.542 0.189 0.239 1
Ti1 0.037 0.431 0.707 1
Ti2 0.697 0.796 0.416 1
Ti3 0.681 0.921 0.999 1
Ti4 0.354 0.636 0.287 1
Ti5 0.677 0.067 0.563 1
Ti6 0.323 0.933 0.437 1
Ti7 0.995 0.702 0.873 1
Ti8 0.981 0.795 0.633 1
Ti9 0.326 0.580 0.511 1
Ti10 0.303 0.204 0.584 1
Ti11 0.337 0.433 0.931 1
Ti12 0.012 0.929 0.202 1
Ti13 0.319 0.712 0.083 1
Ti14 0.663 0.567 0.069 1
Ti15 0.963 0.569 0.293 1
Ti16 0.319 0.079 0.001 1
Ti17 0.674 0.420 0.489 1
Ti18 0.988 0.071 0.798 1
Ti19 0.681 0.288 0.917 1
Ti20 0.005 0.298 0.127 1
Ti21 0.646 0.364 0.713 1
Ti22 0.019 0.205 0.367 1
O1 0.503 0.317 0.035 1
O2 0.851 0.597 0.732 1
O3 0.877 0.116 0.233 1
O4 0.842 0.264 0.799 1
O5 0.504 0.822 0.533 1
O6 0.833 0.818 0.097 1
O7 0.515 0.045 0.903 1
O8 0.496 0.597 0.175 1
O9 0.850 0.769 0.305 1
O10 0.489 0.454 0.604 1
O11 0.173 0.671 0.405 1
O12 0.171 0.825 0.976 1
O13 0.149 0.403 0.268 1
O14 0.828 0.535 0.953 1
O15 0.835 0.045 0.447 1
O16 0.829 0.175 0.024 1
O17 0.172 0.465 0.047 1
O18 0.496 0.178 0.467 1
O19 0.504 0.403 0.825 1
O20 0.497 0.683 0.965 1
O21 0.158 0.736 0.201 1
O22 0.150 0.231 0.695 1
O23 0.829 0.449 0.168 1
O24 0.177 0.042 0.332 1
O25 0.175 0.625 0.627 1
O26 0.165 0.955 0.553 1
O27 0.511 0.546 0.396 1
O28 0.825 0.375 0.373 1
O29 0.823 0.958 0.668 1
O30 0.822 0.671 0.522 1
O31 0.175 0.118 0.124 1
O32 0.167 0.182 0.903 1
O33 0.485 0.955 0.097 1
O34 0.123 0.884 0.767 1
O35 0.827 0.329 0.595 1
O36 0.497 0.880 0.332 1
O37 0.178 0.329 0.478 1
O38 0.825 0.882 0.876 1
O39 0.503 0.120 0.668 1
O40 0.171 0.551 0.832 1

No. 5
# Li2RhCl | Alexandria | GGA-PBEsol | optimized geometry
# * DOS at the Fermi energy: 3.3 states/eV/f.u.
# * uncorrected formation energy: -0.299 eV per atom
data_Li2RhCl
_chemical_formula_sum 'Li2 Rh1 Cl1'
_space_group_name_H-M_alt 'P 1'
_space_group_IT_number 1
_space_group_name_Hall 'P 1'
_cell_length_a 3.071
_cell_length_b 3.071
_cell_length_c 6.117
_cell_angle_alpha 90.00
_cell_angle_beta 90.00
_cell_angle_gamma 90.00
loop_
_atom_site_label
_atom_site_fract_x
_atom_site_fract_y
_atom_site_fract_z
_atom_site_occupancy
Cl1 0.500 0.500 0.838 1
Li1 0.000 0.000 0.966 1
Li2 0.500 0.500 0.237 1
Rh1 0.000 0.000 0.458 1

No. 6
# Ca2MnCd | Alexandria | GGA-PBEsol | optimized geometry
# * DOS at the Fermi energy: 3.5 states/eV/f.u.
# * ΔH_f (0 K): 0.19 eV per atom
data_Ca2MnCd
_chemical_formula_sum 'Ca2 Mn1 Cd1'
_space_group_name_H-M_alt 'P 1'
_space_group_IT_number 1
_space_group_name_Hall 'P 1'
_cell_length_a 3.758
_cell_length_b 3.758
_cell_length_c 7.159
_cell_angle_alpha 90.00
_cell_angle_beta 90.00
_cell_angle_gamma 89.98
loop_
_atom_site_label
_atom_site_fract_x
_atom_site_fract_y
_atom_site_fract_z
_atom_site_occupancy
Ca1 0.000 0.000 0.243 1
Ca2 0.000 0.000 0.757 1
Mn1 0.500 0.500 0.000 1
Cd1 0.500 0.500 0.500 1

No. 7
# SnBi3Se | Alexandria | GGA-PBEsol | optimized geometry
# * DOS at the Fermi energy: 5.0 states/eV/f.u.
# * uncorrected formation energy: 0.462 eV per atom
data_SnBi3Se
_chemical_formula_sum 'Sn1 Bi3 Se1'
_space_group_name_H-M_alt 'P 1'
_space_group_IT_number 1
_space_group_name_Hall 'P 1'
_cell_length_a 5.496
_cell_length_b 5.496
_cell_length_c 5.496
_cell_angle_alpha 90.00
_cell_angle_beta 90.00
_cell_angle_gamma 90.00
loop_
_atom_site_label
_atom_site_fract_x
_atom_site_fract_y
_atom_site_fract_z
_atom_site_occupancy
Bi1 0.000 0.500 0.000 1
Bi2 0.000 0.000 0.500 1
Bi3 0.500 0.000 0.000 1
Se1 0.000 0.000 0.000 1
Sn1 0.500 0.500 0.500 1

No. 8
# Mg3RePt | Alexandria | GGA-PBEsol | optimized geometry
# * DOS at the Fermi energy: 4.2 states/eV/f.u.
# * ΔH_f (0 K): 1.43 eV per atom
data_Mg3RePt
_chemical_formula_sum 'Mg3 Re1 Pt1'
_space_group_name_H-M_alt 'P 1'
_space_group_IT_number 1
_space_group_name_Hall 'P 1'
_cell_length_a 4.882
_cell_length_b 4.882
_cell_length_c 4.882
_cell_angle_alpha 90.00
_cell_angle_beta 90.00
_cell_angle_gamma 90.00
loop_
_atom_site_label
_atom_site_fract_x
_atom_site_fract_y
_atom_site_fract_z
_atom_site_occupancy
Re1 0.000 0.000 0.000 1
Mg1 0.000 0.500 0.000 1
Mg2 0.000 0.000 0.500 1
Mg3 0.500 0.000 0.000 1
Pt1 0.500 0.500 0.500 1

No. 9
# KNi2Ru | Alexandria | GGA-PBEsol | optimized geometry
# * DOS at the Fermi energy: 4.5 states/eV/f.u.
# * ΔH_f (0 K): 0.95 eV per atom
data_KNi2Ru
_chemical_formula_sum 'K1 Ni2 Ru1'
_space_group_name_H-M_alt 'P 1'
_space_group_IT_number 1
_space_group_name_Hall 'P 1'
_cell_length_a 2.564
_cell_length_b 4.745
_cell_length_c 4.745
_cell_angle_alpha 90.00
_cell_angle_beta 90.00
_cell_angle_gamma 90.00
loop_
_atom_site_label
_atom_site_fract_x
_atom_site_fract_y
_atom_site_fract_z
_atom_site_occupancy
K1 0.500 0.500 0.500 1
Ni1 0.000 0.000 0.500 1
Ni2 0.000 0.500 0.000 1
Ru1 0.500 0.000 0.000 1

No. 10
# BeHPb3 | Alexandria | GGA-PBEsol | optimized geometry
# * calculated total energy: -15.477 eV/cell
# * DOS at the Fermi energy: 2.9 states/eV/f.u.
data_BeHPb3
_chemical_formula_sum 'Be1 H1 Pb3'
_space_group_name_H-M_alt 'P 1'
_space_group_IT_number 1
_space_group_name_Hall 'P 1'
_cell_length_a 4.986
_cell_length_b 4.986
_cell_length_c 4.986
_cell_angle_alpha 90.00
_cell_angle_beta 90.00
_cell_angle_gamma 90.00
loop_
_atom_site_label
_atom_site_fract_x
_atom_site_fract_y
_atom_site_fract_z
_atom_site_occupancy
Pb1 0.000 0.500 0.000 1
Pb2 0.000 0.000 0.500 1
Pb3 0.500 0.000 0.000 1
Be1 0.000 0.000 0.000 1
H1 0.500 0.500 0.500 1

No. 11
# BaSiPbSe2 | Alexandria | GGA-PBEsol | optimized geometry
# * DOS at the Fermi energy: 5.9 states/eV/f.u.
# * uncorrected formation energy: 0.652 eV per atom
data_BaSiPbSe2
_chemical_formula_sum 'Ba1 Si1 Pb1 Se2'
_space_group_name_H-M_alt 'P 1'
_space_group_IT_number 1
_space_group_name_Hall 'P 1'
_cell_length_a 5.535
_cell_length_b 5.829
_cell_length_c 5.829
_cell_angle_alpha 90.00
_cell_angle_beta 90.00
_cell_angle_gamma 90.00
loop_
_atom_site_label
_atom_site_fract_x
_atom_site_fract_y
_atom_site_fract_z
_atom_site_occupancy
Pb1 0.500 0.500 0.500 1
Si1 0.500 0.000 0.000 1
Ba1 0.000 0.000 0.000 1
Se1 0.000 0.000 0.500 1
Se2 0.000 0.500 0.000 1

No. 12
# ZrSi2Br | Alexandria | GGA-PBEsol | optimized geometry
# * DOS at the Fermi energy: 2.0 states/eV/f.u.
# * excess energy over the best structure of this formula in the dataset: 0.1638 eV per atom
# * uncorrected formation energy: -0.178 eV per atom
data_ZrSi2Br
_chemical_formula_sum 'Zr1 Si2 Br1'
_space_group_name_H-M_alt 'P 1'
_space_group_IT_number 1
_space_group_name_Hall 'P 1'
_cell_length_a 3.558
_cell_length_b 4.948
_cell_length_c 5.113
_cell_angle_alpha 118.94
_cell_angle_beta 110.36
_cell_angle_gamma 90.00
loop_
_atom_site_label
_atom_site_fract_x
_atom_site_fract_y
_atom_site_fract_z
_atom_site_occupancy
Br1 0.270 0.770 0.539 1
Si1 0.034 0.034 0.069 1
Si2 0.710 0.210 0.420 1
Zr1 0.486 0.486 0.972 1